1.
A plane-wave DFT calculation with PBE-GGA was carried out for YTi2Br after structural relaxation.

Cell and atoms, written as POSCAR:
```
YTi2Br
1.0
0.000 3.481 3.481
3.481 0.000 3.481
3.481 3.481 0.000
Y Ti Br
1 2 1
direct
0.000 0.000 0.000
0.250 0.250 0.250
0.750 0.750 0.750
0.500 0.500 0.500
```

Computed properties:
- formation energy from raw total energies (eV/atom) = 0.615
- magnetic moment (Bohr magnetons per cell) = 2.2
- DOS at the Fermi energy (states/eV per atom) = 1.482
- energy relative to the lowest polymorph listed for this composition (eV/atom) = 0.432
- space group = No. 225


2.
A plane-wave DFT calculation with PBE-GGA was carried out for KTiBe2Br after structural relaxation.

Cell and atoms, written as POSCAR:
```
KTiBe2Br
1.0
4.760 0.000 0.000
0.000 4.760 0.000
0.000 0.000 10.730
K Ti Be Br
1 1 2 1
direct
0.000 0.000 0.000
0.000 0.000 0.500
0.000 0.500 0.500
0.500 0.000 0.500
0.500 0.500 0.000
```

Computed properties:
- formation energy from raw total energies (eV/atom) = 0.949
- magnetic moment (Bohr magnetons per cell) = 3.3
- DOS at the Fermi energy (states/eV per atom) = 0.746
- space group = No. 123


3.
A plane-wave DFT calculation with PBE-GGA was carried out for MgSc4Ga2Ru after structural relaxation.

Cell and atoms, written as POSCAR:
```
MgSc4Ga2Ru
1.0
2.379 1.373 7.759
-2.379 1.373 7.759
0.000 -2.747 7.759
Mg Sc Ga Ru
1 4 2 1
direct
0.000 0.000 0.000
0.132 0.132 0.132
0.385 0.385 0.385
0.615 0.615 0.615
0.868 0.868 0.868
0.257 0.257 0.257
0.743 0.743 0.743
0.500 0.500 0.500
```

Computed properties:
- magnetic moment (Bohr magnetons per cell) = 0.0
- formation energy (kJ/mol of formula units) = -389
- DOS at the Fermi energy (states/eV per atom) = 0.571
- space group = No. 166


4.
A plane-wave DFT calculation with PBE-GGA was carried out for Cs2NaTc after structural relaxation.

Cell and atoms, written as POSCAR:
```
Cs2NaTc
1.0
0.000 4.257 4.257
4.257 0.000 4.257
4.257 4.257 0.000
Cs Na Tc
2 1 1
direct
0.250 0.250 0.250
0.750 0.750 0.750
0.000 0.000 0.000
0.500 0.500 0.500
```

Computed properties:
- magnetic moment (Bohr magnetons per cell) = 3.5
- formation energy (kJ/mol of formula units) = 500
- DOS at the Fermi energy (states/eV per atom) = 1.479
- energy relative to the lowest polymorph listed for this composition (eV/atom) = 0.028
- space group = No. 225


5.
A plane-wave DFT calculation with PBE-GGA was carried out for TlTe2Ir after structural relaxation.

Cell and atoms, written as POSCAR:
```
TlTe2Ir
1.0
2.179 -2.583 0.000
2.179 2.583 0.000
0.000 0.000 9.227
Tl Te Ir
1 2 1
direct
0.000 0.000 0.000
0.500 0.500 0.319
0.500 0.500 0.681
0.000 0.000 0.500
```

Computed properties:
- formation energy from raw total energies (eV/atom) = 0.204
- magnetic moment (Bohr magnetons per cell) = 0.0
- DOS at the Fermi energy (states/eV per atom) = 0.606
- energy relative to the lowest polymorph listed for this composition (eV/atom) = 0.429
- space group = No. 65


6.
A plane-wave DFT calculation with PBE-GGA was carried out for Mn2SnGe after structural relaxation.

Cell and atoms, written as POSCAR:
```
Mn2SnGe
1.0
-3.195 3.195 6.274
3.195 -3.195 6.274
3.195 3.195 -6.274
Mn Sn Ge
4 2 2
direct
0.085 0.625 0.960
0.375 0.335 0.460
0.665 0.125 0.040
0.875 0.915 0.540
0.250 0.750 0.500
0.500 0.500 0.000
0.000 0.000 0.000
0.750 0.250 0.500
```

Computed properties:
- magnetic moment (Bohr magnetons per cell) = 12.4
- formation energy (kJ/mol of formula units) = 339
- DOS at the Fermi energy (states/eV per atom) = 0.983
- space group = No. 122


7.
A plane-wave DFT calculation with PBE-GGA was carried out for PmSmFe4 after structural relaxation.

Cell and atoms, written as POSCAR:
```
PmSmFe4
1.0
0.000 3.697 3.697
3.697 0.000 3.697
3.697 3.697 0.000
Pm Sm Fe
1 1 4
direct
0.000 0.000 0.000
0.750 0.750 0.750
0.375 0.375 0.375
0.375 0.375 0.875
0.375 0.875 0.375
0.875 0.375 0.375
```

Computed properties:
- magnetic moment (Bohr magnetons per cell) = 7.7
- formation energy (kJ/mol of formula units) = 19
- DOS at the Fermi energy (states/eV per atom) = 1.316
- space group = No. 216


8.
A plane-wave DFT calculation with PBE-GGA was carried out for Sr4CdAu after structural relaxation.

Cell and atoms, written as POSCAR:
```
Sr4CdAu
1.0
4.005 0.000 0.000
0.000 4.005 0.000
0.000 0.000 14.197
Sr Cd Au
4 1 1
direct
0.000 0.000 0.127
0.000 0.000 0.873
0.500 0.500 0.357
0.500 0.500 0.643
0.000 0.000 0.500
0.500 0.500 0.000
```

Computed properties:
- magnetic moment (Bohr magnetons per cell) = 0.0
- formation energy (kJ/mol of formula units) = -215
- DOS at the Fermi energy (states/eV per atom) = 0.722
- energy relative to the lowest polymorph listed for this composition (eV/atom) = 0.000
- space group = No. 123


9.
A plane-wave DFT calculation with PBE-GGA was carried out for Ce3Ta5N12 after structural relaxation.

Cell and atoms, written as POSCAR:
```
Ce3Ta5N12
1.0
-6.526 6.526 6.526
6.526 -6.526 6.526
6.526 6.526 -6.526
Ce Ta N
12 20 48
direct
0.125 0.250 0.375
0.125 0.375 0.750
0.250 0.375 0.125
0.250 0.875 0.625
0.375 0.125 0.250
0.375 0.750 0.125
0.625 0.250 0.875
0.625 0.875 0.750
0.750 0.125 0.375
0.750 0.625 0.875
0.875 0.625 0.250
0.875 0.750 0.625
0.000 0.000 0.000
0.000 0.000 0.500
0.000 0.500 0.000
0.000 0.500 0.500
0.125 0.750 0.875
0.125 0.875 0.250
0.250 0.125 0.875
0.250 0.625 0.375
0.375 0.250 0.625
0.375 0.625 0.750
0.500 0.000 0.000
0.500 0.000 0.500
0.500 0.500 0.000
0.500 0.500 0.500
0.625 0.375 0.250
0.625 0.750 0.375
0.750 0.375 0.625
0.750 0.875 0.125
0.875 0.125 0.750
0.875 0.250 0.125
0.024 0.202 0.122
0.024 0.322 0.902
0.080 0.702 0.678
0.080 0.878 0.402
0.098 0.622 0.420
0.098 0.976 0.678
0.122 0.024 0.202
0.122 0.598 0.920
0.178 0.202 0.580
0.178 0.476 0.598
0.202 0.122 0.024
0.202 0.580 0.178
0.298 0.322 0.920
0.298 0.476 0.378
0.322 0.902 0.024
0.322 0.920 0.298
0.378 0.298 0.476
0.378 0.580 0.902
0.402 0.080 0.878
0.402 0.822 0.524
0.420 0.098 0.622
0.420 0.822 0.798
0.476 0.378 0.298
0.476 0.598 0.178
0.524 0.402 0.822
0.524 0.622 0.702
0.580 0.178 0.202
0.580 0.902 0.378
0.598 0.178 0.476
0.598 0.920 0.122
0.622 0.420 0.098
0.622 0.702 0.524
0.678 0.080 0.702
0.678 0.098 0.976
0.702 0.524 0.622
0.702 0.678 0.080
0.798 0.420 0.822
0.798 0.878 0.976
0.822 0.524 0.402
0.822 0.798 0.420
0.878 0.402 0.080
0.878 0.976 0.798
0.902 0.024 0.322
0.902 0.378 0.580
0.920 0.122 0.598
0.920 0.298 0.322
0.976 0.678 0.098
0.976 0.798 0.878
```

Computed properties:
- formation energy from raw total energies (eV/atom) = -1.242
- magnetic moment (Bohr magnetons per cell) = 4.9
- DOS at the Fermi energy (states/eV per atom) = 0.532
- space group = No. 230


10.
A plane-wave DFT calculation with PBE-GGA was carried out for La11Pr after structural relaxation.

Cell and atoms, written as POSCAR:
```
La11Pr
1.0
11.779 0.000 0.000
-5.889 10.201 0.000
0.000 0.000 3.661
La Pr
11 1
direct
0.000 0.500 0.000
0.171 0.342 0.500
0.171 0.829 0.500
0.333 0.667 0.000
0.342 0.171 0.500
0.500 0.000 0.000
0.500 0.500 0.000
0.658 0.829 0.500
0.667 0.333 0.000
0.829 0.171 0.500
0.829 0.658 0.500
0.000 0.000 0.000
```

Computed properties:
- magnetic moment (Bohr magnetons per cell) = 0.0
- formation energy (kJ/mol of formula units) = 31
- DOS at the Fermi energy (states/eV per atom) = 1.634
- space group = No. 191


11.
A plane-wave DFT calculation with PBE-GGA was carried out for TbSm2Rh4 after structural relaxation.

Cell and atoms, written as POSCAR:
```
TbSm2Rh4
1.0
2.360 1.363 7.850
-2.360 1.363 7.850
0.000 -2.726 7.850
Tb Sm Rh
1 2 4
direct
0.000 0.000 0.000
0.238 0.238 0.238
0.762 0.762 0.762
0.119 0.119 0.119
0.374 0.374 0.374
0.626 0.626 0.626
0.881 0.881 0.881
```

Computed properties:
- magnetic moment (Bohr magnetons per cell) = 0.0
- formation energy (kJ/mol of formula units) = -305
- DOS at the Fermi energy (states/eV per atom) = 0.424
- space group = No. 166


12.
A plane-wave DFT calculation with PBE-GGA was carried out for MnPb3Br after structural relaxation.

Cell and atoms, written as POSCAR:
```
MnPb3Br
1.0
5.693 0.000 0.000
0.000 5.693 0.000
0.000 0.000 5.693
Mn Pb Br
1 3 1
direct
0.000 0.000 0.000
0.000 0.500 0.500
0.500 0.000 0.500
0.500 0.500 0.000
0.500 0.500 0.500
```

Computed properties:
- formation energy from raw total energies (eV/atom) = 0.829
- magnetic moment (Bohr magnetons per cell) = 4.3
- DOS at the Fermi energy (states/eV per atom) = 0.800
- energy relative to the lowest polymorph listed for this composition (eV/atom) = 0.852
- space group = No. 221